Compound: CrGaAs2Br
Source: the Alexandria database
Functional: GGA-PBE
Structure: optimized geometry

The structure in POSCAR format:
```
CrGaAs2Br
1.0
4.641 0.000 0.000
0.000 4.641 0.000
0.000 0.000 5.642
Cr Ga As Br
1 1 2 1
direct
0.000 0.000 0.000 Cr
0.500 0.500 0.500 Ga
0.000 0.500 0.000 As
0.500 0.000 0.000 As
0.000 0.000 0.500 Br
```

Properties
Magnetic moment = 1.56 μB per formula unit
ΔE_f (raw) = 15.96 kJ/mol of atoms
SG = P4/mmm (123)
ΔE to the lowest computed polymorph = 0 meV per atom


Compound: AlSb
Source: the Alexandria database
Functional: GGA-PBE
Structure: optimized geometry

The structure in POSCAR format:
```
AlSb
1.0
11.782 0.000 0.000
0.000 11.782 0.000
0.000 0.000 4.369
Al Sb
8 8
direct
0.062 0.394 0.000 Al
0.130 0.717 0.500 Al
0.283 0.130 0.500 Al
0.394 0.938 0.000 Al
0.606 0.062 0.000 Al
0.717 0.870 0.500 Al
0.870 0.283 0.500 Al
0.938 0.606 0.000 Al
0.099 0.267 0.500 Sb
0.182 0.591 0.000 Sb
0.267 0.901 0.500 Sb
0.409 0.182 0.000 Sb
0.591 0.818 0.000 Sb
0.733 0.099 0.500 Sb
0.818 0.409 0.000 Sb
0.901 0.733 0.500 Sb
```

Properties
Magnetic moment = 0.00 μB per formula unit
ΔE_f (raw) = 0.35 kJ/mol of atoms
SG = P4/m (83)


Compound: KSb2Se
Source: the Alexandria database
Functional: GGA-PBE
Structure: optimized geometry

The structure in POSCAR format:
```
KSb2Se
1.0
5.467 -2.358 0.000
5.467 2.358 0.000
-4.681 0.000 5.769
K Sb Se
1 2 1
direct
0.000 0.000 0.000 K
0.546 0.546 0.581 Sb
0.849 0.849 0.361 Sb
0.299 0.299 0.581 Se
```

Properties
Magnetic moment = 0.00 μB per formula unit
ΔE_f (raw) = -24.12 kJ/mol of atoms
SG = Cm (8)
ΔE to the lowest computed polymorph = 107 meV per atom


Compound: Ho8ZnSn2
Source: the Alexandria database
Functional: GGA-PBE
Structure: optimized geometry

The structure in POSCAR format:
```
Ho8ZnSn2
1.0
9.557 -2.509 0.000
9.557 2.509 0.000
-1.681 0.000 6.458
Ho Zn Sn
8 1 2
direct
0.019 0.019 0.280 Ho
0.215 0.215 0.817 Ho
0.348 0.348 0.502 Ho
0.408 0.408 0.029 Ho
0.592 0.592 0.971 Ho
0.652 0.652 0.498 Ho
0.785 0.785 0.183 Ho
0.981 0.981 0.720 Ho
0.500 0.500 0.500 Zn
0.181 0.181 0.257 Sn
0.819 0.819 0.743 Sn
```

Properties
Calculated formation energy = -332.0 kJ/mol of formula units
Magnetic moment = 0.00 μB per formula unit
SG = C2/m (12)